Pm8NdDy2 (PBE-GGA, relaxed); calculated volume = 35.361 Å³ per atom; ΔE to the lowest computed polymorph = 7.7 meV per atom; total energy = -50.4 eV/cell; crystal system = monoclinic; ΔE_f = 147 meV/atom
1.0
-1.716 -5.414 0.113
8.617 -2.017 5.306
3.390 -0.267 9.743
Pm Nd Dy
8 1 2
Direct
0.269 0.135 0.600 Pm
0.269 0.600 0.135 Pm
0.731 0.865 0.400 Pm
0.238 0.545 0.545 Pm
0.731 0.400 0.865 Pm
0.231 0.188 0.188 Pm
0.769 0.812 0.812 Pm
0.762 0.455 0.455 Pm
0.000 0.000 0.000 Nd
0.745 0.285 0.285 Dy
0.255 0.715 0.715 Dy

---

Pm5Nd5Dy2 (PBE-GGA, relaxed); calculated volume = 34.277 Å³ per atom; ΔE to the lowest computed polymorph = 0.0 meV per atom; total energy = -56.6 eV/cell; crystal system = monoclinic; ΔE_f = 14 meV/atom
1.0
5.038 0.000 1.076
2.221 7.607 1.931
0.300 0.645 10.921
Pm Nd Dy
5 5 2
Direct
0.500 0.500 0.500 Pm
0.333 0.334 0.000 Pm
0.418 0.915 0.249 Pm
0.582 0.085 0.751 Pm
0.667 0.666 0.000 Pm
0.835 0.831 0.499 Nd
0.251 0.748 0.749 Nd
0.749 0.252 0.251 Nd
0.165 0.169 0.501 Nd
0.000 0.000 0.000 Nd
0.916 0.416 0.751 Dy
0.084 0.584 0.249 Dy

---

Pm4Nd8Dy (PBE-GGA, relaxed); calculated volume = 35.297 Å³ per atom; total energy = -59.4 eV/cell; crystal system = trigonal; ΔE_f = 180 meV/atom
1.0
6.543 0.000 -3.530
-4.224 6.119 0.000
1.370 0.947 10.370
Pm Nd Dy
4 8 1
Direct
0.000 0.000 0.000 Pm
0.000 0.500 0.000 Pm
0.500 0.500 0.000 Pm
0.500 0.000 0.000 Pm
0.573 0.786 0.359 Nd
0.427 0.214 0.641 Nd
0.498 0.249 0.298 Nd
0.951 0.200 0.702 Nd
0.502 0.751 0.702 Nd
0.951 0.751 0.702 Nd
0.049 0.249 0.298 Nd
0.049 0.800 0.298 Nd
0.000 0.500 0.500 Dy

---

Pm3Nd7Dy2 (PBE-GGA, relaxed); calculated volume = 34.727 Å³ per atom; ΔE to the lowest computed polymorph = 0.0 meV per atom; total energy = -55.8 eV/cell; crystal system = monoclinic; ΔE_f = 87 meV/atom
1.0
3.632 0.000 0.000
0.000 5.961 0.278
0.000 -1.986 19.159
Pm Nd Dy
3 7 2
Direct
0.500 0.500 0.000 Pm
0.000 0.218 0.366 Pm
0.000 0.782 0.634 Pm
0.500 0.743 0.465 Nd
0.500 0.257 0.535 Nd
0.000 0.682 0.145 Nd
0.000 0.000 0.000 Nd
0.000 0.318 0.855 Nd
0.500 0.816 0.818 Nd
0.500 0.184 0.182 Nd
0.500 0.708 0.296 Dy
0.500 0.292 0.704 Dy

---

PmNd5Dy2 (PBE-GGA, relaxed); calculated volume = 34.130 Å³ per atom; ΔE to the lowest computed polymorph = 0.0 meV per atom; total energy = -75.4 eV/cell; crystal system = orthorhombic; ΔE_f = 13 meV/atom
1.0
5.149 0.000 0.000
0.000 7.282 0.000
0.000 0.000 14.564
Pm Nd Dy
2 10 4
Direct
0.000 0.000 0.500 Pm
0.000 0.500 0.000 Pm
0.000 0.000 0.000 Nd
0.000 0.500 0.500 Nd
0.000 0.501 0.750 Nd
0.000 0.499 0.250 Nd
0.000 0.999 0.250 Nd
0.000 0.001 0.750 Nd
0.500 0.251 0.875 Nd
0.500 0.749 0.125 Nd
0.500 0.249 0.375 Nd
0.500 0.751 0.625 Nd
0.500 0.251 0.625 Dy
0.500 0.749 0.375 Dy
0.500 0.249 0.125 Dy
0.500 0.751 0.875 Dy

---

Pm7Nd2Dy (PBE-GGA, relaxed); calculated volume = 34.587 Å³ per atom; total energy = -45.9 eV/cell; crystal system = orthorhombic; ΔE_f = 150 meV/atom
1.0
3.494 0.000 0.000
0.000 14.292 -4.839
0.000 -10.766 10.572
Pm Nd Dy
7 2 1
Direct
0.000 0.812 0.188 Pm
0.000 0.188 0.812 Pm
0.500 0.146 0.343 Pm
0.500 0.854 0.657 Pm
0.500 0.343 0.146 Pm
0.500 0.657 0.854 Pm
0.500 0.500 0.500 Pm
0.500 0.705 0.295 Nd
0.500 0.295 0.705 Nd
0.000 0.000 0.000 Dy

---

PmNd12Dy6 (PBE-GGA, relaxed); calculated volume = 35.199 Å³ per atom; ΔE to the lowest computed polymorph = 0.0 meV per atom; total energy = -85.9 eV/cell; crystal system = trigonal; ΔE_f = 191 meV/atom
1.0
-2.281 1.359 8.467
-7.833 -2.732 -3.150
3.999 -7.875 0.862
Pm Nd Dy
1 12 6
Direct
0.000 0.000 0.000 Pm
0.759 0.241 0.500 Nd
0.354 0.083 0.354 Nd
0.354 0.354 0.083 Nd
0.917 0.646 0.646 Nd
0.646 0.646 0.917 Nd
0.646 0.917 0.646 Nd
0.500 0.759 0.241 Nd
0.241 0.500 0.759 Nd
0.241 0.759 0.500 Nd
0.500 0.241 0.759 Nd
0.759 0.500 0.241 Nd
0.083 0.354 0.354 Nd
0.903 0.337 0.903 Dy
0.903 0.903 0.337 Dy
0.337 0.903 0.903 Dy
0.097 0.097 0.663 Dy
0.097 0.663 0.097 Dy
0.663 0.097 0.097 Dy

---

Pm6Nd7Dy16 (PBE-GGA, relaxed); calculated volume = 34.940 Å³ per atom; total energy = -128.6 eV/cell; crystal system = cubic; ΔE_f = 238 meV/atom
1.0
9.764 0.000 5.637
3.255 9.205 5.637
0.000 0.000 11.274
Pm Nd Dy
6 7 16
Direct
0.264 0.736 0.264 Pm
0.736 0.264 0.736 Pm
0.736 0.264 0.264 Pm
0.264 0.736 0.736 Pm
0.736 0.736 0.264 Pm
0.264 0.264 0.736 Pm
0.000 0.000 0.000 Nd
0.500 0.000 0.500 Nd
0.000 0.500 0.000 Nd
0.000 0.500 0.500 Nd
0.500 0.000 0.000 Nd
0.000 0.000 0.500 Nd
0.500 0.500 0.000 Nd
0.871 0.871 0.387 Dy
0.871 0.871 0.871 Dy
0.871 0.387 0.871 Dy
0.387 0.871 0.871 Dy
0.129 0.129 0.129 Dy
0.129 0.129 0.613 Dy
0.129 0.613 0.129 Dy
0.613 0.129 0.129 Dy
0.651 0.651 0.048 Dy
0.651 0.651 0.651 Dy
0.651 0.048 0.651 Dy
0.048 0.651 0.651 Dy
0.349 0.349 0.349 Dy
0.349 0.349 0.952 Dy
0.349 0.952 0.349 Dy
0.952 0.349 0.349 Dy

---

Pm12NdDy5 (PBE-GGA, relaxed); calculated volume = 33.574 Å³ per atom; total energy = -83.3 eV/cell; crystal system = monoclinic; ΔE_f = 83 meV/atom
1.0
12.171 0.000 0.001
6.086 8.528 0.000
0.003 0.000 5.823
Pm Nd Dy
12 1 5
Direct
0.798 0.000 0.458 Pm
0.202 0.000 0.542 Pm
0.697 0.000 0.959 Pm
0.303 0.000 0.041 Pm
0.330 0.641 0.995 Pm
0.029 0.641 0.005 Pm
0.971 0.359 0.995 Pm
0.670 0.359 0.005 Pm
0.471 0.359 0.505 Pm
0.830 0.641 0.505 Pm
0.170 0.359 0.495 Pm
0.529 0.641 0.495 Pm
0.000 0.000 0.000 Nd
0.500 0.000 0.500 Dy
0.137 0.726 0.500 Dy
0.863 0.274 0.500 Dy
0.637 0.727 0.000 Dy
0.363 0.273 0.000 Dy

---

Pm8Nd3Dy2 (PBE-GGA, relaxed); calculated volume = 35.338 Å³ per atom; ΔE to the lowest computed polymorph = 63.0 meV per atom; total energy = -58.7 eV/cell; crystal system = monoclinic; ΔE_f = 218 meV/atom
1.0
-2.108 -5.135 1.656
3.058 -3.290 -6.308
7.112 -0.227 8.320
Pm Nd Dy
8 3 2
Direct
0.001 0.674 0.348 Pm
0.999 0.326 0.652 Pm
0.999 0.135 0.270 Pm
0.001 0.865 0.730 Pm
0.500 0.600 0.784 Pm
0.500 0.184 0.784 Pm
0.500 0.816 0.216 Pm
0.500 0.400 0.216 Pm
0.500 0.000 0.000 Nd
0.000 0.289 0.000 Nd
0.000 0.711 0.000 Nd
0.498 0.241 0.483 Dy
0.502 0.759 0.517 Dy

---

PmNd2Dy5 (PBE-GGA, relaxed); calculated volume = 32.943 Å³ per atom; ΔE to the lowest computed polymorph = 150.4 meV per atom; total energy = -71.9 eV/cell; crystal system = monoclinic; ΔE_f = 168 meV/atom
1.0
9.155 0.000 -3.917
-1.008 6.013 -2.356
-0.819 -1.768 10.744
Pm Nd Dy
2 4 10
Direct
0.000 0.000 0.500 Pm
0.500 0.500 0.500 Pm
0.175 0.459 0.844 Nd
0.669 0.959 0.844 Nd
0.825 0.541 0.156 Nd
0.331 0.041 0.156 Nd
0.489 0.446 0.802 Dy
0.942 0.750 0.000 Dy
0.058 0.250 0.000 Dy
0.892 0.629 0.605 Dy
0.108 0.371 0.395 Dy
0.713 0.129 0.605 Dy
0.287 0.871 0.395 Dy
0.511 0.554 0.198 Dy
0.313 0.946 0.802 Dy
0.687 0.054 0.198 Dy

---

PmNd2Dy (PBE-GGA, relaxed); calculated volume = 34.073 Å³ per atom; ΔE to the lowest computed polymorph = 95.7 meV per atom; total energy = -18.5 eV/cell; crystal system = orthorhombic; ΔE_f = 109 meV/atom
1.0
-1.857 3.021 6.074
1.857 -3.021 6.074
1.857 3.021 -6.074
Pm Nd Dy
1 2 1
Direct
0.742 0.242 0.500 Pm
0.999 0.999 0.000 Nd
0.258 0.758 0.500 Nd
0.501 0.501 0.000 Dy